[1]
Here is crystalline HfBiP2Cl at its relaxed geometry from Alexandria via LeMat-Bulk. Energies are from PBE.

Cell lengths 5.2250, 5.2250, 5.0040 Å; angles 90.00, 90.00, 90.00 degrees
Space group P4/mmm (No. 123)
Inequivalent atoms, fractional coordinates:
1 Hf 0.0000 0.0000 0.0000
2 Bi 0.5000 0.5000 0.5000
3 P 0.0000 0.5000 0.5000
4 Cl 0.5000 0.5000 0.0000

Output
total magnetization	0.596	Bohr magnetons per cell
energy above the most stable polymorph in this dataset	5.75	eV/f.u.
formation energy from raw total energies	0.974	eV/atom
E	-21.63	eV for the cell shown



[2]
Here is crystalline HfBiPCl2 at its relaxed geometry from Alexandria via LeMat-Bulk. Energies are from PBE.

Cell lengths 4.8711, 4.8711, 5.3365 Å; angles 90.00, 90.00, 90.00 degrees
Space group P4/mmm (No. 123)
Inequivalent atoms, fractional coordinates:
1 Hf 0.0000 0.0000 0.0000
2 Bi 0.5000 0.5000 0.5000
3 P 0.0000 0.0000 0.5000
4 Cl 0.0000 0.5000 0.0000

Output
total magnetization	1.180	Bohr magnetons per cell
energy above the most stable polymorph in this dataset	0.00	eV/f.u.
formation energy from raw total energies	-0.459	eV/atom
E	-25.23	eV for the cell shown



[3]
Here is crystalline HfBiP2Cl at its relaxed geometry from Alexandria via LeMat-Bulk. Energies are from PBE.

Cell lengths 5.1161, 5.1161, 4.7778 Å; angles 90.00, 90.00, 90.00 degrees
Space group P4/mmm (No. 123)
Inequivalent atoms, fractional coordinates:
1 Hf 0.0000 0.0000 0.0000
2 Bi 0.5000 0.5000 0.5000
3 P 0.0000 0.5000 0.0000
4 Cl 0.0000 0.0000 0.5000

Output
total magnetization	0.000	Bohr magnetons per cell
energy above the most stable polymorph in this dataset	0.00	eV/f.u.
formation energy from raw total energies	-0.176	eV/atom
E	-27.38	eV for the cell shown



[4]
Here is crystalline HfBiPCl2 at its relaxed geometry from Alexandria via LeMat-Bulk. Energies are from PBE.

Cell lengths 5.1846, 5.1846, 5.6682 Å; angles 90.00, 90.00, 90.00 degrees
Space group P4/mmm (No. 123)
Inequivalent atoms, fractional coordinates:
1 Hf 0.0000 0.0000 0.0000
2 Bi 0.5000 0.5000 0.5000
3 P 0.5000 0.5000 0.0000
4 Cl 0.0000 0.5000 0.5000

Output
total magnetization	1.461	Bohr magnetons per cell
energy above the most stable polymorph in this dataset	5.54	eV/f.u.
formation energy from raw total energies	0.649	eV/atom
E	-19.69	eV for the cell shown



[5]
Here is crystalline RbHfBi2Cl at its relaxed geometry from Alexandria via LeMat-Bulk. Energies are from PBE.

Cell lengths 5.4881, 5.4881, 13.1152 Å; angles 90.00, 90.00, 90.00 degrees
Space group P4/mmm (No. 123)
Inequivalent atoms, fractional coordinates:
1 Rb 0.0000 0.0000 0.0000
2 Hf 0.0000 0.0000 0.5000
3 Bi 0.0000 0.5000 0.5000
4 Cl 0.5000 0.5000 0.0000

Output
total magnetization	0.000	Bohr magnetons per cell
formation energy from raw total energies	-0.062	eV/atom
E	-20.84	eV for the cell shown



[6]
Here is crystalline HfBiS2Cl at its relaxed geometry from Alexandria via LeMat-Bulk. Energies are from PBE.

Cell lengths 4.9868, 4.9868, 4.9079 Å; angles 90.00, 90.00, 90.00 degrees
Space group P4/mmm (No. 123)
Inequivalent atoms, fractional coordinates:
1 Hf 0.0000 0.0000 0.0000
2 Bi 0.5000 0.5000 0.5000
3 S 0.0000 0.5000 0.0000
4 Cl 0.0000 0.0000 0.5000

Output
total magnetization	0.000	Bohr magnetons per cell
energy above the most stable polymorph in this dataset	0.00	eV/f.u.
formation energy from raw total energies	-0.666	eV/atom
E	-27.26	eV for the cell shown



[7]
Here is crystalline HfBiSCl2 at its relaxed geometry from Alexandria via LeMat-Bulk. Energies are from PBE.

Cell lengths 4.9738, 4.9738, 5.0248 Å; angles 90.00, 90.00, 90.00 degrees
Space group P4/mmm (No. 123)
Inequivalent atoms, fractional coordinates:
1 Hf 0.0000 0.0000 0.0000
2 Bi 0.5000 0.5000 0.5000
3 S 0.0000 0.0000 0.5000
4 Cl 0.0000 0.5000 0.0000

Output
total magnetization	0.222	Bohr magnetons per cell
energy above the most stable polymorph in this dataset	0.00	eV/f.u.
formation energy from raw total energies	-0.623	eV/atom
E	-24.77	eV for the cell shown



[8]
Here is crystalline HfBiSCl2 at its relaxed geometry from Alexandria via LeMat-Bulk. Energies are from PBE.

Cell lengths 5.3570, 5.3570, 5.4652 Å; angles 90.00, 90.00, 90.00 degrees
Space group P4/mmm (No. 123)
Inequivalent atoms, fractional coordinates:
1 Hf 0.0000 0.0000 0.0000
2 Bi 0.5000 0.5000 0.5000
3 S 0.5000 0.5000 0.0000
4 Cl 0.0000 0.5000 0.5000

Output
total magnetization	1.300	Bohr magnetons per cell
energy above the most stable polymorph in this dataset	5.48	eV/f.u.
formation energy from raw total energies	0.473	eV/atom
E	-19.29	eV for the cell shown



[9]
Here is crystalline HfBiS2Cl at its relaxed geometry from Alexandria via LeMat-Bulk. Energies are from PBE.

Cell lengths 5.3247, 5.3247, 5.1338 Å; angles 90.00, 90.00, 90.00 degrees
Space group P4/mmm (No. 123)
Inequivalent atoms, fractional coordinates:
1 Hf 0.0000 0.0000 0.0000
2 Bi 0.5000 0.5000 0.5000
3 S 0.0000 0.5000 0.5000
4 Cl 0.5000 0.5000 0.0000

Output
total magnetization	1.853	Bohr magnetons per cell
energy above the most stable polymorph in this dataset	6.04	eV/f.u.
formation energy from raw total energies	0.542	eV/atom
E	-21.22	eV for the cell shown



[10]
Here is crystalline HfBiSbCl2 at its relaxed geometry from Alexandria via LeMat-Bulk. Energies are from PBE.

Cell lengths 4.9913, 4.9913, 6.2071 Å; angles 90.00, 90.00, 90.00 degrees
Space group P4/mmm (No. 123)
Inequivalent atoms, fractional coordinates:
1 Hf 0.0000 0.0000 0.0000
2 Bi 0.5000 0.5000 0.0000
3 Sb 0.0000 0.0000 0.5000
4 Cl 0.0000 0.5000 0.5000

Output
total magnetization	0.000	Bohr magnetons per cell
formation energy from raw total energies	0.255	eV/atom
E	-20.37	eV for the cell shown



[11]
Here is crystalline Hf2VBiCl at its relaxed geometry from Alexandria via LeMat-Bulk. Energies are from PBE.

Cell lengths 4.9786, 4.9786, 5.1129 Å; angles 90.00, 90.00, 90.00 degrees
Space group P4/mmm (No. 123)
Inequivalent atoms, fractional coordinates:
1 Hf 0.0000 0.5000 0.0000
2 V 0.0000 0.0000 0.0000
3 Bi 0.0000 0.0000 0.5000
4 Cl 0.5000 0.5000 0.5000

Output
total magnetization	0.000	Bohr magnetons per cell
formation energy from raw total energies	0.550	eV/atom
E	-32.00	eV for the cell shown



[12]
Here is crystalline HfBi2WCl at its relaxed geometry from Alexandria via LeMat-Bulk. Energies are from PBE.

Cell lengths 5.4067, 5.4067, 4.5782 Å; angles 90.00, 90.00, 90.00 degrees
Space group P4/mmm (No. 123)
Inequivalent atoms, fractional coordinates:
1 Hf 0.0000 0.0000 0.0000
2 Bi 0.0000 0.5000 0.5000
3 W 0.5000 0.5000 0.0000
4 Cl 0.0000 0.0000 0.5000

Output
total magnetization	2.751	Bohr magnetons per cell
formation energy from raw total energies	1.396	eV/atom
E	-25.53	eV for the cell shown



[13]
Here is crystalline HfBiWCl2 at its relaxed geometry from Alexandria via LeMat-Bulk. Energies are from PBE.

Cell lengths 5.1081, 5.1081, 6.2802 Å; angles 90.00, 90.00, 90.00 degrees
Space group P4/mmm (No. 123)
Inequivalent atoms, fractional coordinates:
1 Hf 0.0000 0.0000 0.0000
2 Bi 0.0000 0.0000 0.5000
3 W 0.5000 0.5000 0.0000
4 Cl 0.0000 0.5000 0.5000

Output
total magnetization	3.814	Bohr magnetons per cell
formation energy from raw total energies	1.490	eV/atom
E	-23.03	eV for the cell shown



[14]
Here is crystalline HgBiCl3 at its relaxed geometry from Alexandria via LeMat-Bulk. Energies are from PBE.

Cell lengths 6.4629, 7.2542, 7.5738 Å; angles 90.00, 103.80, 90.00 degrees
Space group P2_1/m (No. 11)
Inequivalent atoms, fractional coordinates:
1 Hg 0.0165 0.2500 0.4139
2 Bi 0.3127 0.7500 0.0002
3 Cl 0.0261 0.2500 0.8827
4 Cl 0.4904 0.5021 0.2341

Output
total magnetization	0.000	Bohr magnetons per cell
energy above the most stable polymorph in this dataset	0.19	eV/f.u.
formation energy from raw total energies	-0.723	eV/atom
E	-26.67	eV for the cell shown